Entry 1:
Mn2PBr after structural relaxation. Source: Alexandria, functional PBE. Values from VASP.

* ΔE to the lowest computed polymorph: 0.521 eV per atom
* space group: I-4m2
* formation energy (no corrections): 0.35 eV per atom

Quantum ESPRESSO input file:
```
&SYSTEM
  ibrav = 0, nat = 4, ntyp = 3
/
ATOMIC_SPECIES
Br 79.90 Br.upf
Mn 54.94 Mn.upf
P 30.97 P.upf
ATOMIC_POSITIONS crystal
Br 0.750 0.250 0.500
Mn 0.000 0.000 0.000
Mn 0.250 0.750 0.500
P 0.500 0.500 0.000
CELL_PARAMETERS angstrom
-1.332 1.337 -6.747
-1.864 -3.585 -5.723
-0.838 1.503 6.791
```


Entry 2:
ScTlNi2 after structural relaxation. Source: Alexandria, functional PBE. Values from VASP.

* space group: Pmmm
* ΔE_f: -0.162 eV per atom

Quantum ESPRESSO input file:
```
&SYSTEM
  ibrav = 0, nat = 4, ntyp = 3
/
ATOMIC_SPECIES
Ni 58.69 Ni.upf
Sc 44.96 Sc.upf
Tl 204.38 Tl.upf
ATOMIC_POSITIONS crystal
Ni 0.000 0.980 0.020
Ni 0.000 0.520 0.480
Sc 0.500 0.250 0.250
Tl 0.500 0.750 0.750
CELL_PARAMETERS angstrom
-0.926 -0.997 2.982
-0.987 -2.845 -1.258
4.608 -5.210 -0.311
```


Entry 3:
Na2GeP after structural relaxation. Source: Alexandria, functional PBE. Values from VASP.

* ΔE to the lowest computed polymorph: 0.000 eV per atom
* space group: C2/m
* ΔE_f: -0.134 eV per atom

Quantum ESPRESSO input file:
```
&SYSTEM
  ibrav = 0, nat = 8, ntyp = 3
/
ATOMIC_SPECIES
Na 22.99 Na.upf
Ge 72.64 Ge.upf
P 30.97 P.upf
ATOMIC_POSITIONS crystal
Na 0.785 0.570 0.326
Na 0.215 0.430 0.674
Na 0.948 0.897 0.757
Na 0.052 0.103 0.243
Ge 0.307 0.614 0.026
Ge 0.693 0.386 0.974
P 0.420 0.840 0.467
P 0.580 0.160 0.533
CELL_PARAMETERS angstrom
-1.674 3.609 0.123
-2.558 -3.210 -5.027
-6.115 -2.980 4.192
```


Values of ρ, in order: 4.39 9.26 2.54, all in Mg/m³.
Values of VASP energy, in order: -24.03 -20.91 -26.40, all in eV for the cell shown.